No. 1
InSiPd3 (PBE-GGA, relaxed); crystal system = orthorhombic; offset from the most stable computed form = 0 meV/atom; space-group type = Cmmm; Fermi-level density of states = 0.425 states/eV per atom; spin magnetization = 0.000 μB per atom; ΔE_f (raw) = -418 meV/atom; V = 17.5 A^3/atom
1.0
3.007 -0.001 -0.001
0.001 7.958 0.199
0.002 2.952 7.393
Pd In Si
6 2 2
direct
0.863 0.585 0.076
0.863 0.803 0.417
0.363 0.013 0.066
0.863 0.365 0.856
0.363 0.375 0.427
0.863 0.023 0.637
0.863 0.194 0.246
0.363 0.694 0.746
0.363 0.194 0.746
0.363 0.694 0.246

=====

No. 2
In2SiPd8 (PBE-GGA, relaxed); crystal system = monoclinic; space-group type = C2/m; Fermi-level density of states = 0.305 states/eV per atom; spin magnetization = 0.000 μB per atom; ΔE_f (raw) = -475 meV/atom; V = 16.4 A^3/atom
1.0
4.546 0.000 0.000
0.000 5.818 -0.162
-2.273 -2.697 6.881
Pd Si In
8 1 2
direct
0.000 0.755 0.001
0.183 0.183 0.366
0.367 0.611 0.734
0.634 0.878 0.267
0.000 0.245 0.999
0.633 0.389 0.266
0.366 0.122 0.733
0.817 0.817 0.634
0.500 0.000 0.000
0.815 0.316 0.631
0.185 0.684 0.369

=====

No. 3
InSi2Pd8 (PBE-GGA, relaxed); crystal system = monoclinic; offset from the most stable computed form = 0 meV/atom; space-group type = C2/m; Fermi-level density of states = 0.313 states/eV per atom; spin magnetization = 0.000 μB per atom; ΔE_f (raw) = -537 meV/atom; V = 15.9 A^3/atom
1.0
-4.362 -0.736 0.762
0.170 -1.537 -6.403
2.493 -4.832 3.718
Si Pd In
2 8 1
direct
0.000 0.320 0.680
0.000 0.680 0.320
0.911 0.673 0.931
0.689 0.386 0.386
0.089 0.069 0.327
0.500 0.246 0.754
0.089 0.327 0.069
0.311 0.614 0.614
0.500 0.754 0.246
0.911 0.931 0.673
0.500 0.000 0.000

=====

No. 4
Sm2InSi2Pd5 (PBE-GGA, relaxed); crystal system = tetragonal; space-group type = P4/mbm; Fermi-level density of states = 0.734 states/eV per atom; spin magnetization = 0.000 μB per atom; ΔE_f (raw) = -720 meV/atom; V = 18.5 A^3/atom
1.0
3.453 0.000 0.000
0.000 10.366 0.000
0.000 0.000 10.366
Sm Si In Pd
4 4 2 10
direct
0.000 0.321 0.821
0.000 0.821 0.679
0.000 0.179 0.321
0.000 0.679 0.179
0.000 0.379 0.121
0.000 0.121 0.621
0.000 0.621 0.879
0.000 0.879 0.379
0.000 0.500 0.500
0.000 0.000 0.000
0.500 0.057 0.785
0.500 0.285 0.557
0.500 0.557 0.715
0.500 0.500 0.000
0.500 0.000 0.500
0.500 0.443 0.285
0.500 0.785 0.943
0.500 0.943 0.215
0.500 0.715 0.443
0.500 0.215 0.057

=====

No. 5
SrInSiPd3 (PBE-GGA, relaxed); crystal system = orthorhombic; space-group type = Cmcm; Fermi-level density of states = 0.466 states/eV per atom; spin magnetization = 0.000 μB per atom; ΔE_f (raw) = -509 meV/atom; V = 23.4 A^3/atom
1.0
6.008 0.000 0.000
0.000 5.997 0.000
0.000 -2.998 7.780
Pd Si Sr In
6 2 2 2
direct
0.750 0.779 0.558
0.000 0.753 0.000
0.500 0.753 0.000
0.000 0.247 0.000
0.500 0.247 0.000
0.250 0.221 0.442
0.750 0.928 0.856
0.250 0.072 0.144
0.750 0.240 0.480
0.250 0.760 0.520
0.250 0.391 0.781
0.750 0.609 0.219

=====

No. 6
Sr2InSiPd6 (PBE-GGA, relaxed); crystal system = triclinic; space-group type = P-1; Fermi-level density of states = 0.354 states/eV per atom; spin magnetization = 0.000 μB per atom; ΔE_f (raw) = -606 meV/atom; V = 22.1 A^3/atom
1.0
-4.240 0.915 4.918
1.029 -6.454 2.884
2.260 0.166 5.315
Pd Si In Sr
6 1 1 2
direct
0.741 0.707 0.033
0.879 0.387 0.868
0.121 0.613 0.132
0.258 0.293 0.479
0.742 0.707 0.521
0.259 0.293 0.967
0.500 0.500 0.000
0.000 0.000 0.000
0.725 0.209 0.533
0.275 0.791 0.467

=====

No. 7
Sr2InSi3Pd4 (PBE-GGA, relaxed); crystal system = tetragonal; space-group type = P-4m2; Fermi-level density of states = 0.612 states/eV per atom; spin magnetization = 0.000 μB per atom; ΔE_f (raw) = -677 meV/atom; V = 20.0 A^3/atom
1.0
-3.715 2.393 -0.209
-0.239 -0.750 -4.354
-5.520 -8.417 1.753
Pd In Sr Si
4 1 2 3
direct
0.000 0.000 0.000
0.000 0.500 0.351
0.500 0.500 0.000
0.500 0.000 0.649
0.500 0.500 0.500
0.000 0.500 0.756
0.500 0.000 0.244
0.000 0.500 0.113
0.500 0.000 0.887
0.000 0.000 0.500

=====

No. 8
Tb2InSi2Pd5 (PBE-GGA, relaxed); crystal system = tetragonal; space-group type = P4/mbm; Fermi-level density of states = 0.825 states/eV per atom; spin magnetization = 0.000 μB per atom; ΔE_f (raw) = -744 meV/atom; V = 18.2 A^3/atom
1.0
-0.977 3.245 -1.090
-8.204 -3.955 -4.418
-5.238 1.300 8.564
Tb Pd Si In
4 10 4 2
direct
0.000 0.322 0.822
0.000 0.178 0.322
0.000 0.822 0.678
0.000 0.678 0.178
0.500 0.058 0.783
0.500 0.283 0.558
0.500 0.717 0.442
0.500 0.942 0.217
0.500 0.442 0.283
0.500 0.217 0.058
0.500 0.000 0.500
0.500 0.558 0.717
0.500 0.783 0.942
0.500 0.500 0.000
0.000 0.622 0.878
0.000 0.378 0.122
0.000 0.122 0.622
0.000 0.878 0.378
0.000 0.000 0.000
0.000 0.500 0.500